1.
TeHRhAu2 after structural relaxation. Source: the Alexandria database, functional PBE-GGA.

a b c (Å): 5.2762 4.9900 5.2762
angles (deg): 90.00 90.00 90.00
Last column: nearest neighbours and their distance in Å.
Fractional coordinates of all 5 atoms:
Rh  0.0000  0.5000  0.0000  2 Te 2.49
Te  0.0000  0.0000  0.0000  2 Rh 2.49, 4 Au 2.64
Au  0.0000  0.0000  0.5000  2 Te 2.64
Au  0.5000  0.0000  0.0000  2 Te 2.64
H  0.5000  0.5000  0.5000  8 Au 3.63, 4 Rh 3.73

Properties
- crystal system = tetragonal
- space group = P4/mmm, No. 123
- raw total energy (eV per cell) = -14.89
- total magnetization (μB/atom) = 0.381

---

2.
Te2HRhAu after structural relaxation. Source: the Alexandria database, functional PBE-GGA.

a b c (Å): 3.9818 4.4294 6.5260
angles (deg): 102.92 95.49 114.07
Last column: nearest neighbours and their distance in Å.
Fractional coordinates of all 5 atoms:
Te  0.1982  0.3216  0.8154  3 Rh 2.64-2.78, 1 Au 2.73, 2 H 2.80-2.82
Te  0.8059  0.6128  0.3767  1 H 2.33
H  0.5567  0.1247  0.4978  1 Rh 1.58
Rh  0.4629  0.8835  0.6511  1 H 1.58
Au  0.8559  0.9759  0.0909  3 Te 2.69-3.01, 1 Rh 2.99

Properties
- crystal system = triclinic
- space group = P1, No. 1
- relative energy among the computed polymorphs (eV per formula unit) = 0.22
- raw total energy (eV per cell) = -20.68
- total magnetization (μB/atom) = 0.000

---

3.
Te2HRhAu after structural relaxation. Source: the Alexandria database, functional PBE-GGA.

a b c (Å): 4.0198 7.2253 3.8045
angles (deg): 90.00 90.00 90.00
Last column: nearest neighbours and their distance in Å.
Fractional coordinates of all 5 atoms:
Te  0.5000  0.2668  0.5000  2 Rh 2.62, 2 Au 2.71
Te  0.5000  0.7332  0.5000  2 Rh 2.62, 2 Au 2.71
H  0.0000  0.5000  0.0000  2 Rh 1.90
Rh  0.0000  0.5000  0.5000  2 H 1.90
Au  0.5000  0.0000  0.0000  4 Te 2.71

Properties
- crystal system = orthorhombic
- space group = Pmmm, No. 47
- relative energy among the computed polymorphs (eV per formula unit) = 0.00
- raw total energy (eV per cell) = -20.90
- total magnetization (μB/atom) = 0.000

---

4.
Te2HRhAu after structural relaxation. Source: the Alexandria database, functional PBE-GGA.

a b c (Å): 3.9575 4.4787 6.7032
angles (deg): 100.86 97.15 115.40
Last column: nearest neighbours and their distance in Å.
Fractional coordinates of all 5 atoms:
Te  0.3409  0.4979  0.1488  1 H 2.04
Te  0.9138  0.8096  0.7414  3 Rh 2.67-2.68, 2 Au 2.86-2.87
H  0.8501  0.9157  0.3075  1 Au 1.71
Rh  0.6607  0.2534  0.8865  5 Te 2.63-2.68, 1 Au 2.91
Au  0.2893  0.1961  0.4681  1 H 1.71

Properties
- crystal system = triclinic
- space group = P1, No. 1
- relative energy among the computed polymorphs (eV per formula unit) = 0.69
- raw total energy (eV per cell) = -20.21
- total magnetization (μB/atom) = 0.000

---

5.
Te2HRhAu after structural relaxation. Source: the Alexandria database, functional PBE-GGA.

a b c (Å): 3.4606 4.3536 7.8313
angles (deg): 84.16 77.45 66.89
Last column: nearest neighbours and their distance in Å.
Fractional coordinates of all 5 atoms:
Te  0.1026  0.9335  0.1987  3 H 2.46-2.66, 2 Rh 2.63, 1 Au 2.67
Te  0.0463  0.6221  0.6282  1 H 2.52, 1 Au 2.64, 3 Rh 2.72-2.75
H  0.3263  0.3660  0.3290  1 Rh 1.59
Rh  0.4261  0.0404  0.4511  1 H 1.59
Au  0.9783  0.4310  0.9612  2 Te 2.64-2.67

Properties
- crystal system = triclinic
- space group = P1, No. 1
- relative energy among the computed polymorphs (eV per formula unit) = 0.55
- raw total energy (eV per cell) = -20.35
- total magnetization (μB/atom) = 0.000

---

6.
ThH8Rh4Au after structural relaxation. Source: the Alexandria database, functional PBE-GGA.

a b c (Å): 5.7033 5.7033 5.7935
angles (deg): 60.51 60.51 60.00
Last column: nearest neighbours and their distance in Å.
Fractional coordinates of all 14 atoms:
Th  0.3815  0.3815  0.8556  4 H 2.27-2.28
H  0.2364  0.8663  0.6609  2 Rh 1.74
H  0.8663  0.2364  0.6609  2 Rh 1.74
H  0.2364  0.2364  0.6609  2 Rh 1.74
H  0.2223  0.2223  0.3330  3 Rh 1.81, 3 H 1.98
H  0.6795  0.2807  0.3604  3 Rh 1.79-1.91
H  0.2807  0.6795  0.3604  3 Rh 1.79-1.91
H  0.6795  0.6795  0.3604  3 Rh 1.79-1.91
H  0.7625  0.7625  0.7124  4 Rh 1.87-1.97
Rh  0.6316  0.6316  0.1051  4 H 1.79-1.87
Rh  0.0054  0.5135  0.4756  5 H 1.74-1.91
Rh  0.5135  0.0054  0.4756  5 H 1.74-1.91
Rh  0.0054  0.0054  0.4756  5 H 1.74-1.91
Au  0.9990  0.9990  0.0031  3 H 2.04

Properties
- crystal system = trigonal
- space group = R3m, No. 160
- raw total energy (eV per cell) = -69.09
- total magnetization (μB/atom) = 0.000

---

7.
TlHRh2Au after structural relaxation. Source: the Alexandria database, functional PBE-GGA.

a b c (Å): 4.1853 4.1853 4.0272
angles (deg): 90.00 90.00 90.00
Last column: nearest neighbours and their distance in Å.
Fractional coordinates of all 5 atoms:
Rh  0.0000  0.5000  0.0000  2 H 2.09
Rh  0.5000  0.0000  0.0000  2 H 2.09
Tl  0.5000  0.5000  0.5000  8 Rh 2.90, 4 Au 2.96
Au  0.0000  0.0000  0.5000  2 H 2.01
H  0.0000  0.0000  0.0000  2 Au 2.01, 4 Rh 2.09

Properties
- crystal system = tetragonal
- space group = P4/mmm, No. 123
- raw total energy (eV per cell) = -23.20
- total magnetization (μB/atom) = 0.000

---

8.
TmHRh2Au after structural relaxation. Source: the Alexandria database, functional PBE-GGA.

a b c (Å): 4.2629 4.0680 4.0680
angles (deg): 90.00 90.00 90.00
Last column: nearest neighbours and their distance in Å.
Fractional coordinates of all 5 atoms:
Tm  0.5000  0.0000  0.0000  2 H 2.13
H  0.0000  0.0000  0.0000  4 Rh 2.03, 2 Tm 2.13
Rh  0.0000  0.0000  0.5000  2 H 2.03
Rh  0.0000  0.5000  0.0000  2 H 2.03
Au  0.5000  0.5000  0.5000  4 Tm 2.88, 8 Rh 2.95

Properties
- crystal system = tetragonal
- space group = P4/mmm, No. 123
- raw total energy (eV per cell) = -28.60
- total magnetization (μB/atom) = 0.000

---

9.
VHRh2Au after structural relaxation. Source: the Alexandria database, functional PBE-GGA.

a b c (Å): 4.9527 4.7047 4.9527
angles (deg): 90.00 90.00 90.00
Last column: nearest neighbours and their distance in Å.
Fractional coordinates of all 5 atoms:
Rh  0.0000  0.0000  0.5000  2 Au 2.48
Rh  0.5000  0.0000  0.0000  2 Au 2.48
Au  0.0000  0.0000  0.0000  2 V 2.35, 4 Rh 2.48
H  0.5000  0.5000  0.5000  8 Rh 3.42, 4 V 3.50
V  0.0000  0.5000  0.0000  2 Au 2.35

Properties
- crystal system = tetragonal
- space group = P4/mmm, No. 123
- relative energy among the computed polymorphs (eV per formula unit) = 11.18
- raw total energy (eV per cell) = -19.80
- total magnetization (μB/atom) = 0.347

---

10.
VH2RhAu after structural relaxation. Source: the Alexandria database, functional PBE-GGA.

a b c (Å): 3.4670 5.4122 3.4670
angles (deg): 90.00 90.00 90.00
Last column: nearest neighbours and their distance in Å.
Fractional coordinates of all 5 atoms:
Rh  0.0000  0.5000  0.0000  4 V 2.45, 2 Au 2.71
Au  0.0000  0.0000  0.0000  4 H 1.73
H  0.0000  0.0000  0.5000  2 Au 1.73
H  0.5000  0.0000  0.0000  2 Au 1.73
V  0.5000  0.5000  0.5000  4 Rh 2.45

Properties
- crystal system = tetragonal
- space group = P4/mmm, No. 123
- raw total energy (eV per cell) = -23.77
- total magnetization (μB/atom) = 0.047

---

11.
VHRh2Au after structural relaxation. Source: the Alexandria database, functional PBE-GGA.

a b c (Å): 3.9614 3.9614 3.9406
angles (deg): 90.00 90.00 90.00
Last column: nearest neighbours and their distance in Å.
Fractional coordinates of all 5 atoms:
Rh  0.0000  0.5000  0.0000  2 H 1.98
Rh  0.5000  0.0000  0.0000  2 H 1.98
Au  0.5000  0.5000  0.5000  8 Rh 2.79, 4 V 2.80
H  0.0000  0.0000  0.0000  2 V 1.97, 4 Rh 1.98
V  0.0000  0.0000  0.5000  2 H 1.97

Properties
- crystal system = tetragonal
- space group = P4/mmm, No. 123
- relative energy among the computed polymorphs (eV per formula unit) = 0.00
- raw total energy (eV per cell) = -30.98
- total magnetization (μB/atom) = 0.245

---

12.
YH8Rh4Au after structural relaxation. Source: the Alexandria database, functional PBE-GGA.

a b c (Å): 5.6201 5.6201 5.7697
angles (deg): 60.85 60.85 60.00
Last column: nearest neighbours and their distance in Å.
Fractional coordinates of all 14 atoms:
Y  0.3775  0.3775  0.8676  4 H 2.17-2.20
H  0.2411  0.8518  0.6660  2 Rh 1.74
H  0.8518  0.2411  0.6660  2 Rh 1.74
H  0.2411  0.2411  0.6660  2 Rh 1.74
H  0.2256  0.2256  0.3232  3 Rh 1.81
H  0.6822  0.2818  0.3538  3 Rh 1.78-1.89
H  0.2818  0.6822  0.3538  3 Rh 1.78-1.89
H  0.6822  0.6822  0.3538  3 Rh 1.78-1.89
H  0.7622  0.7622  0.7134  4 Rh 1.84-1.95
Rh  0.6335  0.6335  0.0995  4 H 1.78-1.84
Rh  0.0039  0.5132  0.4789  6 H 1.74-1.95
Rh  0.5132  0.0039  0.4789  6 H 1.74-1.95
Rh  0.0039  0.0039  0.4789  6 H 1.74-1.95
Au  0.9998  0.9998  0.0005  3 H 2.04

Properties
- crystal system = trigonal
- space group = R3m, No. 160
- raw total energy (eV per cell) = -68.11
- total magnetization (μB/atom) = 0.000